Material: Na3Zn3ReO8
Method: DFT, PBE
State: optimized geometry

a b c (Å): 6.306 6.306 6.546
angles (deg): 118.79 90.00 120.00
Fractional positions:
Na (0.000, 0.500, 0.000)
O (0.789, 0.009, 0.298)
O (0.211, 0.422, 0.702)
Zn (0.500, 0.500, 0.500)
Zn (0.500, 0.000, 0.500)
O (0.277, 0.554, 0.331)
O (0.211, 0.991, 0.702)
O (0.780, 0.991, 0.702)
O (0.723, 0.446, 0.669)
Zn (0.000, 0.500, 0.500)
O (0.789, 0.578, 0.298)
Na (0.500, 0.500, 0.000)
O (0.220, 0.009, 0.298)
Re (0.000, 0.000, 0.500)
Na (0.000, 0.000, 0.000)

Values from the calculation:
Energy ... -82.572 eV per cell
Formation energy from raw total energies ... -1.5119 eV per atom
Fermi-level density of states ... 0.000 states/eV/f.u.


Material: Na2ZrRe3O12
Method: DFT, PBE
State: optimized geometry

a b c (Å): 7.485 7.485 7.485
angles (deg): 58.71 58.71 58.71
Each line ends with the local moment (μB).
Fractional positions:
O (0.928, 0.928, 0.340)  0.05
O (0.696, 0.696, 0.063)  0.04
Zr (0.000, 0.000, 0.000)  0.03
O (0.340, 0.928, 0.928)  0.05
Na (0.698, 0.698, 0.698)  0.00
Re (0.000, 0.000, 0.500)  0.55
O (0.696, 0.063, 0.696)  0.04
O (0.304, 0.304, 0.937)  0.04
O (0.928, 0.340, 0.928)  0.05
O (0.304, 0.937, 0.304)  0.04
Re (0.500, 0.000, 0.000)  0.55
O (0.072, 0.072, 0.660)  0.05
O (0.660, 0.072, 0.072)  0.05
Re (0.000, 0.500, 0.000)  0.55
O (0.937, 0.304, 0.304)  0.04
Na (0.302, 0.302, 0.302)  0.00
O (0.063, 0.696, 0.696)  0.04
O (0.072, 0.660, 0.072)  0.05

Values from the calculation:
Energy ... -140.933 eV per cell
Formation energy from raw total energies ... -1.8280 eV per atom
Fermi-level density of states ... 8.619 states/eV/f.u.


Material: Na2ZrReO6
Method: DFT, PBE
State: optimized geometry

a b c (Å): 4.013 5.697 5.697
angles (deg): 90.00 90.00 90.00
Each line ends with the local moment (μB).
Fractional positions:
O (0.645, 0.764, 0.236)  0.02
O (0.645, 0.236, 0.764)  0.02
O (0.645, 0.236, 0.236)  0.02
O (0.645, 0.764, 0.764)  0.02
O (0.145, 0.000, 0.000)  -0.01
Zr (0.645, 0.500, 0.500)  0.02
Re (0.645, 0.000, 0.000)  0.34
O (0.145, 0.500, 0.500)  0.01
Na (0.144, 0.000, 0.500)  0.00
Na (0.144, 0.500, 0.000)  0.00

Values from the calculation:
Energy ... -74.752 eV per cell
Formation energy from raw total energies ... -2.1369 eV per atom
Fermi-level density of states ... 3.520 states/eV/f.u.


Material: NaZrReO6
Method: DFT, PBE
State: optimized geometry

a b c (Å): 5.386 5.386 5.130
angles (deg): 90.00 90.00 60.00
Fractional positions:
O (0.023, 0.608, 0.712)
O (0.611, 0.035, 0.291)
O (0.608, 0.369, 0.712)
O (0.035, 0.354, 0.291)
Re (0.333, 0.333, 0.528)
O (0.369, 0.023, 0.712)
Na (0.000, 0.000, 0.008)
Zr (0.667, 0.667, 0.454)
O (0.354, 0.611, 0.291)

Values from the calculation:
Energy ... -71.345 eV per cell
Formation energy from raw total energies ... -2.1422 eV per atom
Fermi-level density of states ... 0.000 states/eV/f.u.


Material: NaRh2O4
Method: DFT, PBE
State: optimized geometry

a b c (Å): 3.101 9.097 10.900
angles (deg): 90.00 90.00 90.00
Each line ends with the local moment (μB).
Fractional positions:
Rh (0.250, 0.913, 0.603)  0.07
Rh (0.750, 0.557, 0.616)  0.04
Na (0.750, 0.237, 0.656)  0.00
O (0.250, 0.534, 0.213)  0.03
Rh (0.750, 0.057, 0.884)  0.04
Na (0.750, 0.737, 0.844)  0.00
Na (0.250, 0.263, 0.156)  0.00
O (0.250, 0.196, 0.840)  0.01
Rh (0.250, 0.413, 0.897)  0.07
O (0.750, 0.804, 0.160)  0.01
O (0.750, 0.466, 0.787)  0.03
O (0.250, 0.116, 0.520)  0.01
O (0.750, 0.304, 0.340)  0.01
Na (0.250, 0.763, 0.344)  0.00
Rh (0.750, 0.087, 0.397)  0.07
O (0.750, 0.384, 0.020)  0.01
O (0.750, 0.082, 0.070)  0.01
Rh (0.750, 0.587, 0.103)  0.07
O (0.750, 0.884, 0.480)  0.01
O (0.250, 0.696, 0.660)  0.01
O (0.250, 0.918, 0.930)  0.01
O (0.250, 0.034, 0.287)  0.03
O (0.750, 0.582, 0.430)  0.01
O (0.250, 0.616, 0.980)  0.01
O (0.750, 0.966, 0.713)  0.03
O (0.250, 0.418, 0.570)  0.01
Rh (0.250, 0.943, 0.116)  0.04
Rh (0.250, 0.443, 0.384)  0.04

Values from the calculation:
Energy ... -171.162 eV per cell
Formation energy from raw total energies ... -0.9908 eV per atom
Fermi-level density of states ... 4.965 states/eV/f.u.


Material: NaRh2O6
Method: DFT, PBE
State: optimized geometry

a b c (Å): 2.928 6.132 6.132
angles (deg): 120.00 90.00 90.00
Fractional positions:
Na (0.500, 0.000, 0.000)
Rh (0.744, 0.333, 0.667)
O (0.753, 0.703, 0.124)
O (0.753, 0.876, 0.579)
O (0.247, 0.124, 0.421)
Rh (0.256, 0.667, 0.333)
O (0.247, 0.297, 0.876)
O (0.247, 0.579, 0.703)
O (0.753, 0.421, 0.297)

Values from the calculation:
Energy ... -48.293 eV per cell
Formation energy from raw total energies ... -0.2802 eV per atom
Fermi-level density of states ... 6.650 states/eV/f.u.


Material: NaRhO
Method: DFT, PBE
State: optimized geometry

a b c (Å): 3.629 4.635 14.274
angles (deg): 141.82 139.67 38.53
Fractional positions:
Na (0.656, 0.379, 0.585)
O (0.605, 0.828, 0.550)
Na (0.056, 0.272, 0.849)
O (0.108, 0.823, 0.883)
Rh (0.455, 0.173, 0.116)
Rh (0.257, 0.477, 0.318)

Values from the calculation:
Energy ... -31.034 eV per cell
Formation energy from raw total energies ... -0.6294 eV per atom
Fermi-level density of states ... 2.284 states/eV/f.u.


Material: NaRhO2
Method: DFT, PBE
State: optimized geometry

a b c (Å): 3.837 3.837 3.837
angles (deg): 60.00 60.00 60.00
Fractional positions:
Rh (0.500, 0.500, 0.500)
Na (0.000, 0.000, 0.000)
O (0.250, 0.250, 0.250)
O (0.750, 0.750, 0.750)

Values from the calculation:
Energy ... -20.344 eV per cell
Formation energy from raw total energies ... -0.4392 eV per atom
Fermi-level density of states ... 2.414 states/eV/f.u.


Material: NaRh7O12
Method: DFT, PBE
State: optimized geometry

a b c (Å): 6.607 6.607 6.607
angles (deg): 109.47 109.47 109.47
Each line ends with the local moment (μB).
Fractional positions:
O (0.316, 0.180, 0.497)  0.03
Rh (0.000, 0.000, 0.500)  0.06
O (0.864, 0.684, 0.180)  0.03
O (0.180, 0.864, 0.684)  0.03
O (0.820, 0.136, 0.316)  0.03
O (0.820, 0.503, 0.684)  0.03
Rh (0.000, 0.500, 0.000)  0.06
O (0.684, 0.180, 0.864)  0.03
O (0.503, 0.684, 0.820)  0.03
Rh (0.500, 0.500, 0.000)  0.48
Rh (0.500, 0.000, 0.500)  0.48
O (0.684, 0.820, 0.503)  0.03
O (0.136, 0.316, 0.820)  0.03
O (0.316, 0.820, 0.136)  0.03
O (0.180, 0.497, 0.316)  0.03
Rh (0.500, 0.500, 0.500)  0.06
Rh (0.500, 0.000, 0.000)  0.06
Na (0.000, 0.000, 0.000)  0.00
Rh (0.000, 0.500, 0.500)  0.48
O (0.497, 0.316, 0.180)  0.03

Values from the calculation:
Energy ... -126.192 eV per cell
Formation energy from raw total energies ... -0.6957 eV per atom
Fermi-level density of states ... 14.084 states/eV/f.u.


Material: Na3Rh2O4
Method: DFT, PBE
State: optimized geometry

a b c (Å): 2.926 5.637 8.778
angles (deg): 106.06 90.00 105.04
Each line ends with the local moment (μB).
Fractional positions:
O (0.356, 0.713, 0.834)  0.20
Na (0.577, 0.154, 0.398)  0.00
O (0.644, 0.287, 0.166)  0.20
Rh (0.728, 0.456, 0.750)  1.03
Rh (0.272, 0.544, 0.250)  1.03
Na (0.423, 0.846, 0.602)  0.00
O (0.103, 0.205, 0.654)  0.20
Na (0.000, 0.000, 0.000)  0.00
O (0.897, 0.795, 0.346)  0.20

Values from the calculation:
Energy ... -47.127 eV per cell
Formation energy from raw total energies ... -0.9594 eV per atom
Fermi-level density of states ... 3.271 states/eV/f.u.


Material: Na4Rh2O
Method: DFT, PBE
State: optimized geometry

a b c (Å): 4.002 4.002 9.884
angles (deg): 78.32 78.32 90.00
Each line ends with the local moment (μB).
Fractional positions:
Na (0.871, 0.871, 0.258)  0.00
Na (0.500, 0.000, 0.000)  0.00
Na (0.000, 0.500, 0.000)  0.00
Na (0.129, 0.129, 0.742)  0.00
O (0.000, 0.000, 0.000)  -0.01
Rh (0.730, 0.730, 0.539)  0.74
Rh (0.270, 0.270, 0.461)  0.74

Values from the calculation:
Energy ... -24.576 eV per cell
Formation energy from raw total energies ... 0.0516 eV per atom
Fermi-level density of states ... 5.234 states/eV/f.u.


Material: Na3RhO4
Method: DFT, PBE
State: optimized geometry

a b c (Å): 5.477 5.754 6.547
angles (deg): 90.00 90.00 109.82
Each line ends with the local moment (μB).
Fractional positions:
O (0.496, 0.805, 0.100)  0.16
O (0.504, 0.195, 0.900)  0.16
O (0.961, 0.224, 0.667)  0.24
O (0.996, 0.805, 0.900)  0.16
O (0.539, 0.776, 0.667)  0.24
O (0.004, 0.195, 0.100)  0.16
O (0.461, 0.224, 0.333)  0.24
Na (0.250, 0.000, 0.620)  0.01
Na (0.750, 0.500, 0.120)  0.01
Rh (0.750, 0.000, 0.873)  1.01
Na (0.250, 0.500, 0.880)  0.01
Na (0.750, 0.500, 0.621)  0.00
O (0.039, 0.776, 0.333)  0.24
Rh (0.250, 0.000, 0.127)  1.01
Na (0.250, 0.500, 0.379)  0.00
Na (0.750, 0.000, 0.380)  0.01

Values from the calculation:
Energy ... -81.549 eV per cell
Formation energy from raw total energies ... -1.2041 eV per atom
Fermi-level density of states ... 2.508 states/eV/f.u.


Material: Na2RhO4
Method: DFT, PBE
State: optimized geometry

a b c (Å): 3.927 3.927 6.598
angles (deg): 72.69 72.69 90.00
Each line ends with the local moment (μB).
Fractional positions:
O (0.159, 0.159, 0.681)  0.46
O (0.000, 0.500, 0.000)  0.27
Rh (0.000, 0.000, 0.000)  1.18
Na (0.648, 0.648, 0.704)  0.00
O (0.841, 0.841, 0.319)  0.46
Na (0.352, 0.352, 0.296)  0.00
O (0.500, 0.000, 0.000)  0.27

Values from the calculation:
Energy ... -35.758 eV per cell
Formation energy from raw total energies ... -0.8480 eV per atom
Fermi-level density of states ... 5.677 states/eV/f.u.


Material: Na2RhO
Method: DFT, PBE
State: optimized geometry

a b c (Å): 9.604 9.604 7.058
angles (deg): 47.13 47.13 90.00
Fractional positions:
Na (0.375, 0.576, 0.750)
Rh (0.000, 0.000, 0.000)
Rh (0.750, 0.250, 0.500)
Na (0.875, 0.674, 0.750)
Na (0.424, 0.125, 0.250)
O (0.250, 0.750, 0.500)
O (0.500, 0.500, 0.000)
Na (0.326, 0.625, 0.250)

Values from the calculation:
Energy ... -33.937 eV per cell
Formation energy from raw total energies ... -0.5052 eV per atom
Fermi-level density of states ... 2.098 states/eV/f.u.


Material: Na5RhO5
Method: DFT, PBE
State: optimized geometry

a b c (Å): 4.545 5.771 6.406
angles (deg): 106.96 90.00 113.19
Each line ends with the local moment (μB).
Fractional positions:
Na (0.689, 0.378, 0.316)  0.00
O (0.867, 0.733, 0.153)  0.24
O (0.146, 0.291, 0.295)  0.17
Na (0.311, 0.622, 0.684)  0.00
Na (0.325, 0.650, 0.143)  0.01
Rh (0.000, 0.000, 0.000)  1.27
Na (0.000, 0.000, 0.500)  0.01
O (0.133, 0.267, 0.847)  0.24
O (0.854, 0.709, 0.705)  0.17
Na (0.675, 0.350, 0.857)  0.01
O (0.500, 0.000, 0.000)  0.04

Values from the calculation:
Energy ... -51.353 eV per cell
Formation energy from raw total energies ... -1.1469 eV per atom
Fermi-level density of states ... 4.667 states/eV/f.u.


Material: Na12RhO7
Method: DFT, PBE
State: optimized geometry

a b c (Å): 8.618 7.381 7.381
angles (deg): 105.83 112.91 112.91
Fractional positions:
Na (0.671, 0.610, 0.473)
O (0.310, 0.303, 0.203)
Na (0.573, 0.922, 0.735)
Na (0.651, 0.813, 0.078)
Na (0.427, 0.078, 0.265)
O (0.893, 0.203, 0.899)
O (0.690, 0.697, 0.797)
Na (0.062, 0.864, 0.390)
Rh (0.000, 0.000, 0.000)
Na (0.198, 0.527, 0.136)
O (0.107, 0.797, 0.101)
Na (0.162, 0.735, 0.813)
Na (0.938, 0.136, 0.610)
O (0.994, 0.101, 0.303)
Na (0.838, 0.265, 0.187)
O (0.500, 0.000, 0.000)
Na (0.329, 0.390, 0.527)
O (0.006, 0.899, 0.697)
Na (0.349, 0.187, 0.922)
Na (0.802, 0.473, 0.864)

Values from the calculation:
Energy ... -77.970 eV per cell
Formation energy from raw total energies ... -1.0041 eV per atom
Fermi-level density of states ... 1.992 states/eV/f.u.


Material: Na4Rh3O8
Method: DFT, PBE
State: optimized geometry

a b c (Å): 6.244 6.244 6.746
angles (deg): 62.44 62.44 60.00
Fractional positions:
O (0.198, 0.745, 0.312)
O (0.802, 0.255, 0.688)
O (0.255, 0.255, 0.688)
Rh (0.500, 0.000, 0.500)
Rh (0.000, 0.500, 0.500)
Na (0.354, 0.354, 0.939)
Na (0.000, 0.000, 0.000)
O (0.775, 0.775, 0.675)
O (0.745, 0.745, 0.312)
Rh (0.000, 0.000, 0.500)
O (0.745, 0.198, 0.312)
O (0.255, 0.802, 0.688)
Na (0.500, 0.500, 0.500)
Na (0.646, 0.646, 0.061)
O (0.225, 0.225, 0.325)

Values from the calculation:
Energy ... -83.272 eV per cell
Formation energy from raw total energies ... -1.0851 eV per atom
Fermi-level density of states ... 14.751 states/eV/f.u.


Material: Na2Rh4O9
Method: DFT, PBE
State: optimized geometry

a b c (Å): 5.266 5.266 14.358
angles (deg): 89.99 90.00 60.00
Fractional positions:
Na (0.000, 0.000, 0.149)
Na (0.000, 0.000, 0.351)
Rh (0.667, 0.667, 0.516)
Na (0.000, 0.000, 0.851)
O (0.347, 0.043, 0.578)
O (0.653, 0.390, 0.922)
Rh (0.667, 0.667, 0.016)
Rh (0.333, 0.333, 0.984)
O (0.653, 0.347, 0.250)
O (0.610, 0.347, 0.578)
O (0.347, 0.653, 0.750)
O (0.390, 0.653, 0.422)
Rh (0.667, 0.667, 0.817)
Rh (0.333, 0.333, 0.183)
Na (0.000, 0.000, 0.649)
O (0.957, 0.390, 0.422)
O (0.957, 0.653, 0.922)
O (0.000, 0.348, 0.750)
O (0.043, 0.610, 0.578)
O (0.000, 0.652, 0.250)
Rh (0.333, 0.333, 0.683)
O (0.653, 0.957, 0.422)
O (0.043, 0.347, 0.078)
O (0.347, 0.000, 0.250)
O (0.347, 0.610, 0.078)
O (0.653, 0.000, 0.750)
Rh (0.667, 0.667, 0.317)
Rh (0.333, 0.333, 0.484)
O (0.610, 0.043, 0.078)
O (0.390, 0.957, 0.922)

Values from the calculation:
Energy ... -177.886 eV per cell
Formation energy from raw total energies ... -0.8184 eV per atom
Fermi-level density of states ... 12.751 states/eV/f.u.


Material: NaRhO2
Method: DFT, PBE
State: optimized geometry

a b c (Å): 3.150 3.150 5.685
angles (deg): 73.92 73.92 60.00
Fractional positions:
Na (0.495, 0.495, 0.515)
O (0.066, 0.066, 0.801)
Rh (0.668, 0.668, 0.995)
O (0.270, 0.270, 0.190)

Values from the calculation:
Energy ... -22.862 eV per cell
Formation energy from raw total energies ... -1.0687 eV per atom